Here is LaAg2Pt after structural relaxation from Alexandria via LeMat-Bulk. Energies are from GGA-PBEsol.

Properties
calculated formation energy	0.051	eV per atom
size of the total moment	0.00	μB/f.u.
SG	R3m, No. 160
theoretical density	11.89	Mg/m³
excess energy over the best structure of this formula in the dataset	26.3	kJ/mol of atoms
Fermi-level density of states	0.79	states/eV/atom

abc: 3.0115 3.0115 9.9280
angles: 81.28 81.28 60.00
Atoms (fractional coordinates):
Pt (0.2554, 0.2554, 0.2337)
Ag (0.9983, 0.9983, 0.0050)
Ag (0.7417, 0.7417, 0.7749)
La (0.5045, 0.5045, 0.4865)

---

Here is AlGaIrRu2 after structural relaxation from Alexandria via LeMat-Bulk. Energies are from GGA-PBEsol.

Properties
calculated formation energy	1.365	eV per atom
size of the total moment	0.00	μB/f.u.
SG	P4/mmm, No. 123
theoretical density	10.14	Mg/m³
Fermi-level density of states	1.12	states/eV/atom

abc: 4.2892 4.2892 4.3695
angles: 90.00 90.00 90.00
Atoms (fractional coordinates):
Ru (0.0000, 0.5000, 0.0000)
Ru (0.5000, 0.0000, 0.0000)
Ir (0.5000, 0.5000, 0.5000)
Al (0.0000, 0.0000, 0.0000)
Ga (0.0000, 0.0000, 0.5000)

---

Here is CaOsRuSe2 after structural relaxation from Alexandria via LeMat-Bulk. Energies are from GGA-PBEsol.

Properties
size of the total moment	2.28	μB/f.u.
SG	P4/mmm, No. 123
theoretical density	7.18	Mg/m³
excess energy over the best structure of this formula in the dataset	65.4	kJ/mol of atoms
Fermi-level density of states	1.12	states/eV/atom
formation energy without anion corrections	1098	meV/atom

abc: 4.6664 4.6664 5.1953
angles: 90.00 90.00 90.00
Site moments in Bohr magnetons follow the coordinates.
Atoms (fractional coordinates):
Ru (0.0000, 0.0000, 0.0000)  -0.29
Ca (0.0000, 0.0000, 0.5000)  -0.02
Os (0.5000, 0.5000, 0.5000)  2.33
Se (0.0000, 0.5000, 0.0000)  -0.02
Se (0.5000, 0.0000, 0.0000)  -0.02

---

Here is TlAg3 after structural relaxation from Alexandria via LeMat-Bulk. Energies are from GGA-PBEsol.

Properties
calculated formation energy	0.087	eV per atom
size of the total moment	0.00	μB/f.u.
SG	Pmmm, No. 47
theoretical density	11.77	Mg/m³
Fermi-level density of states	0.33	states/eV/atom

abc: 3.1020 3.9270 6.1124
angles: 90.00 90.00 90.00
Atoms (fractional coordinates):
Tl (0.0000, 0.0000, 0.0000)
Ag (0.5000, 0.5000, 0.7294)
Ag (0.0000, 0.0000, 0.5000)
Ag (0.5000, 0.5000, 0.2706)

---

Here is BaLi2Pt after structural relaxation from Alexandria via LeMat-Bulk. Energies are from GGA-PBEsol.

Properties
calculated formation energy	-0.377	eV per atom
size of the total moment	0.00	μB/f.u.
SG	R3m, No. 160
theoretical density	6.08	Mg/m³
excess energy over the best structure of this formula in the dataset	0.0	kJ/mol of atoms
Fermi-level density of states	0.26	states/eV/atom

abc: 4.4541 4.4541 6.0754
angles: 68.50 68.50 60.00
Atoms (fractional coordinates):
Ba (0.7560, 0.7560, 0.7318)
Pt (0.5536, 0.5536, 0.3393)
Li (0.9411, 0.9411, 0.1767)
Li (0.2376, 0.2376, 0.2871)

---

Here is SeSBr2N after structural relaxation from Alexandria via LeMat-Bulk. Energies are from GGA-PBEsol.

Properties
size of the total moment	0.00	μB/f.u.
SG	P4/mmm, No. 123
theoretical density	5.16	Mg/m³
Fermi-level density of states	0.88	states/eV/atom
formation energy without anion corrections	1210	meV/atom

abc: 4.2904 4.2904 4.9827
angles: 90.00 90.00 90.00
Atoms (fractional coordinates):
S (0.5000, 0.5000, 0.5000)
Se (0.0000, 0.0000, 0.5000)
Br (0.0000, 0.5000, 0.0000)
Br (0.5000, 0.0000, 0.0000)
N (0.0000, 0.0000, 0.0000)

---

Here is CsNbNi2Au after structural relaxation from Alexandria via LeMat-Bulk. Energies are from GGA-PBEsol.

Properties
calculated formation energy	0.979	eV per atom
size of the total moment	0.00	μB/f.u.
SG	P4/mmm, No. 123
theoretical density	7.52	Mg/m³
Fermi-level density of states	0.98	states/eV/atom

abc: 4.7352 4.7352 5.3180
angles: 90.00 90.00 90.00
Atoms (fractional coordinates):
Cs (0.5000, 0.5000, 0.5000)
Ni (0.0000, 0.5000, 0.0000)
Ni (0.5000, 0.0000, 0.0000)
Nb (0.0000, 0.0000, 0.0000)
Au (0.0000, 0.0000, 0.5000)

---

Here is KLiB2 after structural relaxation from Alexandria via LeMat-Bulk. Energies are from GGA-PBEsol.

Properties
calculated formation energy	0.783	eV per atom
size of the total moment	0.00	μB/f.u.
SG	I4_1/amd, No. 141
theoretical density	2.07	Mg/m³
Fermi-level density of states	0.22	states/eV/atom

abc: 3.5291 3.5291 9.0680
angles: 101.22 101.22 90.00
Atoms (fractional coordinates):
K (0.0000, 0.0000, 0.0000)
K (0.2500, 0.7500, 0.5000)
B (0.6250, 0.3750, 0.7500)
B (0.1250, 0.3750, 0.7500)
B (0.6250, 0.8750, 0.2500)
B (0.6250, 0.3750, 0.2500)
Li (0.5000, 0.5000, 0.0000)
Li (0.7500, 0.2500, 0.5000)

---

Question: Which value of size of the total moment does entry 1 give?
Answer: 0.00 μB/f.u.